[1]
Compound: InTc2Ru
Source: Alexandria via LeMat-Bulk
Functional: PBE
Structure: relaxed

It has space group Imm2 (No. 44), with a = 3.1356 Å, b = 4.5320 Å, c = 8.8822 Å, α = 90.00°, β = 90.00° and γ = 90.00°. The inequivalent atoms are In at (0.0000, 0.0000, 0.0000), Tc at (0.0000, 0.0000, 0.4915), Tc at (0.0000, 0.5000, 0.7592) and Ru at (0.0000, 0.5000, 0.2453).

The calculation puts the total energy at -63.0 eV per cell. The density of states at the Fermi level is 1.0215 states/eV per atom. The calculation puts the formation energy at 0.31 eV per atom.

[2]
Compound: InTc2Ru
Source: Alexandria via LeMat-Bulk
Functional: PBE
Structure: relaxed

It has space group Pmmm (No. 47), with a = 2.8444 Å, b = 4.0804 Å, c = 5.4977 Å, α = 90.00°, β = 90.00° and γ = 90.00°. The inequivalent atoms are In at (0.0000, 0.0000, 0.0000), Tc at (0.5000, 0.5000, 0.2809) and Ru at (0.0000, 0.0000, 0.5000).

The calculation puts the total energy at -31.8 eV per cell. The density of states at the Fermi level is 1.0811 states/eV per atom. The calculation puts the formation energy at 0.25 eV per atom.

[3]
Compound: In2TcRu
Source: Alexandria via LeMat-Bulk
Functional: PBE
Structure: relaxed

It has space group Pmmm (No. 47), with a = 3.1651 Å, b = 4.4901 Å, c = 5.0147 Å, α = 90.00°, β = 90.00° and γ = 90.00°. The inequivalent atoms are In at (0.0000, 0.0000, 0.0000), In at (0.5000, 0.0000, 0.5000), Tc at (0.0000, 0.5000, 0.5000) and Ru at (0.5000, 0.5000, 0.0000).

The calculation puts the total energy at -23.4 eV per cell. The value obtained for the polymorph energy (0 for the lowest one) is 385 meV per atom. The density of states at the Fermi level is 0.8826 states/eV per atom. The calculation puts the formation energy at 0.43 eV per atom.